VASP calculation (PBE) on a geometry-optimized CdCo2Rh structure.

DOS at the Fermi energy = 1.09 states/eV per atom
size of the total moment = 7.87 μB per cell
calculated formation energy = 0.196 eV per atom
SG = Amm2, No. 38
VASP energy = -43.38 eV per cell

Cell lengths 4.037, 2.748, 10.206 Å; angles 90.00, 90.00, 90.00 degrees
Fractional positions:
Cd1 0.000 0.000 0.000
Cd2 0.000 0.500 0.500
Co1 0.000 0.000 0.740
Co2 0.000 0.500 0.240
Co3 0.500 0.000 0.627
Co4 0.500 0.500 0.127
Rh1 0.500 0.000 0.347
Rh2 0.500 0.500 0.847

VASP calculation (PBE) on a geometry-optimized PmMgTlGa structure.

DOS at the Fermi energy = 0.51 states/eV per atom
size of the total moment = 0.00 μB per cell
calculated formation energy = -0.358 eV per atom
SG = Pmmm, No. 47
ΔE to the lowest computed polymorph = 0 meV/atom
VASP energy = -13.17 eV per cell

Cell lengths 4.430, 4.564, 4.772 Å; angles 90.00, 90.00, 90.00 degrees
Fractional positions:
Pm1 0.000 0.000 0.000
Mg1 0.000 0.500 0.500
Tl1 0.500 0.000 0.500
Ga1 0.500 0.500 0.000